*w*
Compound: Mg6VSnO8
Source: the Alexandria database
Functional: PBE with a Hubbard U
Structure: optimized geometry

Cell lengths 4.4602, 4.4602, 8.8444 Å; angles 90.00, 90.00, 90.00 degrees
Element x y z (fractional)
Mg 0.5000 0.5000 0.5000
Mg 0.5000 0.0000 0.7375
Mg 0.5000 0.0000 0.2625
Mg 0.0000 0.5000 0.7375
Mg 0.0000 0.0000 0.5000
Mg 0.0000 0.5000 0.2625
Sn 0.5000 0.5000 0.0000
O 0.0000 0.0000 0.7433
O 0.5000 0.0000 0.0000
O 0.0000 0.5000 0.0000
O 0.5000 0.0000 0.5000
O 0.0000 0.5000 0.5000
O 0.0000 0.0000 0.2567
O 0.5000 0.5000 0.2740
O 0.5000 0.5000 0.7260
V 0.0000 0.0000 0.0000

Output
Fermi-level density of states in states/eV per cell: 1.04
Space group: P4/mmm

---

*x*
Compound: Mg6VSnO8
Source: the Alexandria database
Functional: PBE with a Hubbard U
Structure: optimized geometry

Cell lengths 4.4455, 4.4455, 8.9371 Å; angles 90.00, 90.00, 90.00 degrees
Element x y z (fractional)
Mg 0.0000 0.5000 0.7604
Mg 0.5000 0.5000 0.5000
Mg 0.5000 0.0000 0.2396
Mg 0.0000 0.5000 0.2396
Mg 0.5000 0.0000 0.7604
Mg 0.5000 0.5000 0.0000
O 0.5000 0.5000 0.7531
O 0.5000 0.5000 0.2469
O 0.0000 0.5000 0.0000
O 0.0000 0.5000 0.5000
O 0.5000 0.0000 0.0000
O 0.5000 0.0000 0.5000
O 0.0000 0.0000 0.7658
O 0.0000 0.0000 0.2342
V 0.0000 0.0000 0.0000
Sn 0.0000 0.0000 0.5000

Output
Fermi-level density of states in states/eV per cell: 1.01
Space group: P4/mmm

---

The least stable of them is *x*.

---

*w*
Compound: Mg2SnWO6
Source: the Alexandria database
Functional: PBE with a Hubbard U
Structure: optimized geometry

Cell lengths 5.2254, 5.7003, 5.7030 Å; angles 73.87, 67.40, 67.45 degrees
Element x y z (fractional)
W 0.0017 0.9403 0.0551
O 0.3006 0.6239 0.1702
O 0.0266 0.6961 0.8504
O 0.7078 0.8210 0.3732
O 0.2983 0.0765 0.8228
O 0.9739 0.1482 0.2989
O 0.7038 0.1713 0.9207
Mg 0.2627 0.3431 0.0390
Mg 0.7402 0.9541 0.6545
Sn 0.5041 0.5415 0.4504

Output
Fermi-level density of states in states/eV per cell: 0.00
Space group: P1

---

*x*
Compound: Mg2SnWO6
Source: the Alexandria database
Functional: PBE with a Hubbard U
Structure: optimized geometry

Cell lengths 5.6053, 5.5665, 9.7858 Å; angles 55.76, 90.00, 90.00 degrees
Element x y z (fractional)
O 0.7142 0.4906 0.6153
O 0.3540 0.1663 0.2094
O 0.8540 0.8337 0.2906
O 0.6460 0.8337 0.7906
O 0.8683 0.2172 0.4648
O 0.6317 0.2172 0.9648
O 0.1317 0.7828 0.5352
O 0.2858 0.5094 0.3847
O 0.3683 0.7828 0.0352
O 0.7858 0.4906 0.1153
O 0.2142 0.5094 0.8847
O 0.1460 0.1663 0.7094
Mg 0.9887 0.8178 0.7168
Mg 0.5113 0.8178 0.2168
Mg 0.0113 0.1822 0.2832
Mg 0.4887 0.1822 0.7832
W 0.5000 0.5000 0.0000
W 0.0000 0.5000 0.5000
Sn 0.0000 0.0000 0.0000
Sn 0.5000 0.0000 0.5000

Output
Fermi-level density of states in states/eV per cell: 0.00
Space group: P2_1/c

---

The least stable of them is *x*.